Compound: KAl2Tl
Source: Alexandria via LeMat-Bulk
Functional: SCAN
Structure: PBEsol geometry

Unit cell a=3.788 b=5.191 c=10.457 alpha=90.00 beta=90.00 gamma=90.00
Space group Immm (No. 71)
Asymmetric unit:
K (0.000, 0.000, 0.000) [2 per cell]
Al (0.000, 0.500, 0.229) [4 per cell]
Tl (0.000, 0.000, 0.500) [2 per cell]

- Formation energy: 140.5 kJ/mol of formula units
- DOS at the Fermi energy: 1.8 states/eV/f.u.
- Total magnetization: 0.00 μB per cell